Record 1
Computed, not measured: a PBEsol-optimized structure of La2ZrCu at the SCAN level of DFT.

## Properties
The volume is 95.7 Å³/cell. The value obtained for the total moment is 0.00 μB per formula unit. As for the space-group type: I-4m2, No. 119. As for the energy relative to the lowest polymorph listed for this composition: 0.085 eV per atom. The energy of formation is 0.24 eV per atom.

```
La2ZrCu
1.0
-2.236 2.236 4.784
2.236 -2.236 4.784
2.236 2.236 -4.784
La Zr Cu
2 1 1
Cartesian
0.000 0.000 0.000
0.000 2.236 2.392
0.000 0.000 4.784
2.236 0.000 2.392
```


Record 2
Computed, not measured: a PBEsol-optimized structure of La2ZrCu at the SCAN level of DFT.

## Properties
The volume is 99.4 Å³/cell. The value obtained for the total moment is 0.00 μB per formula unit. As for the space-group type: Cmmm, No. 65. As for the energy relative to the lowest polymorph listed for this composition: 0.000 eV per atom. The energy of formation is 0.16 eV per atom.

```
La2ZrCu
1.0
3.840 -3.845 0.000
3.840 3.845 0.000
0.000 0.000 3.365
La Zr Cu
2 1 1
Cartesian
1.920 1.923 0.000
1.920 -1.923 0.000
0.000 0.000 1.683
3.840 0.000 1.683
```


Record 3
Computed, not measured: a PBEsol-optimized structure of LaZrCu2 at the SCAN level of DFT.

## Properties
The volume is 78.4 Å³/cell. The value obtained for the total moment is 0.61 μB per formula unit. As for the space-group type: P4/mmm, No. 123. As for the energy relative to the lowest polymorph listed for this composition: 0.000 eV per atom. The energy of formation is -0.14 eV per atom.

```
LaZrCu2
1.0
3.346 0.000 0.000
0.000 3.346 0.000
0.000 0.000 7.006
La Zr Cu
1 1 2
Cartesian
0.000 0.000 0.000
0.000 0.000 3.503
1.673 1.673 2.135
1.673 1.673 4.871
```


Record 4
Computed, not measured: a PBEsol-optimized structure of LaZrCu2 at the SCAN level of DFT.

## Properties
The volume is 79.8 Å³/cell. The value obtained for the total moment is 0.00 μB per formula unit. As for the space-group type: Amm2, No. 38. As for the energy relative to the lowest polymorph listed for this composition: 0.088 eV per atom. The energy of formation is -0.06 eV per atom.

```
LaZrCu2
1.0
4.239 0.000 0.000
0.000 1.716 5.481
0.000 -1.716 5.481
La Zr Cu
1 1 2
Cartesian
0.000 0.000 0.000
2.119 0.000 3.216
0.000 0.000 7.982
2.119 0.000 6.571
```